# Ti3RhS GGA-PBE optimized geometry
data_Ti3RhS
_chemical_formula_sum 'Ti3 Rh1 S1'
_cell_length_a 4.4077
_cell_length_b 4.4077
_cell_length_c 4.4077
_cell_angle_alpha 90.00
_cell_angle_beta 90.00
_cell_angle_gamma 90.00
_space_group_name_H-M_alt 'P m -3 m'
_space_group_IT_number 221
_space_group_name_Hall '-P 4 2 3'
loop_
_atom_site_label
_atom_site_type_symbol
_atom_site_fract_x
_atom_site_fract_y
_atom_site_fract_z
Ti1 Ti 0.0000 0.0000 0.5000
Rh1 Rh 0.5000 0.5000 0.5000
S1 S 0.0000 0.0000 0.0000
# Offset from the most stable computed form ... 0.00 eV/f.u.
# Raw formation energy ... -0.392 eV per atom



# Ba3AlPd2O6 GGA-PBE optimized geometry
data_Ba3AlPd2O6
_chemical_formula_sum 'Ba3 Al1 Pd2 O6'
_cell_length_a 5.8935
_cell_length_b 5.8935
_cell_length_c 6.7656
_cell_angle_alpha 90.00
_cell_angle_beta 90.00
_cell_angle_gamma 120.00
_space_group_name_H-M_alt 'P -3 m 1'
_space_group_IT_number 164
_space_group_name_Hall '-P 3 2"'
loop_
_atom_site_label
_atom_site_type_symbol
_atom_site_fract_x
_atom_site_fract_y
_atom_site_fract_z
Ba1 Ba 0.0000 0.0000 0.0000
Ba2 Ba 0.3333 0.6667 0.6466
Al1 Al 0.0000 0.0000 0.5000
Pd1 Pd 0.3333 0.6667 0.1754
O1 O 0.1536 0.3072 0.3272
# Raw formation energy ... -1.692 eV per atom



# Al2InAg5 GGA-PBE optimized geometry
data_Al2InAg5
_chemical_formula_sum 'Al8 In4 Ag20'
_cell_length_a 9.4384
_cell_length_b 9.9415
_cell_length_c 6.1455
_cell_angle_alpha 90.00
_cell_angle_beta 90.00
_cell_angle_gamma 90.00
_space_group_name_H-M_alt 'P b a m'
_space_group_IT_number 55
loop_
_space_group_symop_operation_xyz
'x,y,z'
'-x,-y,-z'
'-x,-y,z'
'x,y,-z'
'x+1/2,-y+1/2,-z'
'-x+1/2,y+1/2,z'
'-x+1/2,y+1/2,-z'
'x+1/2,-y+1/2,z'
loop_
_atom_site_label
_atom_site_type_symbol
_atom_site_fract_x
_atom_site_fract_y
_atom_site_fract_z
Al1 Al 0.0000 0.0000 0.2406
Al2 Al 0.2357 0.4101 0.0000
In1 In 0.2359 0.4134 0.5000
Ag1 Ag 0.0000 0.5000 0.2355
Ag2 Ag 0.0091 0.7635 0.5000
Ag3 Ag 0.0137 0.7651 0.0000
Ag4 Ag 0.2411 0.1590 0.2395
# DFT formation energy ... -23 meV/atom



# Sn2Pb GGA-PBE optimized geometry
data_Sn2Pb
_chemical_formula_sum 'Sn4 Pb2'
_cell_length_a 4.0559
_cell_length_b 4.0559
_cell_length_c 10.5721
_cell_angle_alpha 90.00
_cell_angle_beta 90.00
_cell_angle_gamma 90.00
_space_group_name_H-M_alt 'I 4/m m m'
_space_group_IT_number 139
_space_group_name_Hall '-I 4 2'
loop_
_atom_site_label
_atom_site_type_symbol
_atom_site_fract_x
_atom_site_fract_y
_atom_site_fract_z
Sn1 Sn 0.0000 0.0000 0.1757
Pb1 Pb 0.0000 0.0000 0.5000
# Offset from the most stable computed form ... 0.06 eV/f.u.
# DFT formation energy ... 58 meV/atom